First-principles (PBE) data for AcLaSb2 after structural relaxation, as listed in the Alexandria database.

Size of the total moment (μB/f.u.): 0.0
Theoretical density (g cm⁻³): 7.7
SG: No. 123
Uncorrected formation energy (eV/atom): -0.984
E_tot (Ry per atom): -0.38986

abc: 4.030 4.030 8.059
angles: 90.00 90.00 90.00
Sites, in units of the cell vectors:
Sb1 0.000 0.000 0.741
Sb2 0.000 0.000 0.259
Ac1 0.500 0.500 0.000
La1 0.500 0.500 0.500

First-principles (PBE) data for MgIn4Ga3 after structural relaxation, as listed in the Alexandria database.

Size of the total moment (μB/f.u.): 0.0
Theoretical density (g cm⁻³): 5.5
SG: No. 215
Formation energy from the elements (eV/f.u.): 1.130
E_tot (Ry per atom): -0.18833

abc: 5.941 5.941 5.941
angles: 90.00 90.00 90.00
Sites, in units of the cell vectors:
Mg1 0.000 0.000 0.000
Ga1 0.000 0.500 0.000
Ga2 0.000 0.000 0.500
Ga3 0.500 0.000 0.000
In1 0.312 0.312 0.312
In2 0.688 0.688 0.312
In3 0.312 0.688 0.688
In4 0.688 0.312 0.688

First-principles (PBE) data for BeRu2F after structural relaxation, as listed in the Alexandria database.

Size of the total moment (μB/f.u.): 0.0
Theoretical density (g cm⁻³): 7.0
SG: No. 122
Uncorrected formation energy (eV/atom): 0.235
E_tot (Ry per atom): -0.42645

abc: 7.773 7.773 5.786
angles: 47.80 47.80 90.00
Sites, in units of the cell vectors:
Ru1 0.531 0.125 0.250
Ru2 0.219 0.625 0.250
Ru3 0.375 0.469 0.750
Ru4 0.875 0.781 0.750
Be1 0.500 0.500 0.000
Be2 0.250 0.750 0.500
F1 0.000 0.000 0.000
F2 0.750 0.250 0.500

First-principles (PBE) data for NaLiGa2Hg after structural relaxation, as listed in the Alexandria database.

Size of the total moment (μB/f.u.): 0.0
Theoretical density (g cm⁻³): 4.1
SG: No. 123
Formation energy from the elements (eV/f.u.): 1.252
E_tot (Ry per atom): -0.12254

abc: 5.188 5.586 5.188
angles: 90.00 90.00 90.00
Sites, in units of the cell vectors:
Na1 0.000 0.500 0.000
Hg1 0.000 0.000 0.000
Ga1 0.000 0.000 0.500
Ga2 0.500 0.000 0.000
Li1 0.500 0.500 0.500

First-principles (PBE) data for Y2Ho2Au3 after structural relaxation, as listed in the Alexandria database.

Size of the total moment (μB/f.u.): 0.0
Theoretical density (g cm⁻³): 10.1
SG: No. 2
Formation energy from the elements (eV/f.u.): -4.846
E_tot (Ry per atom): -0.38599

abc: 5.016 5.017 8.816
angles: 90.10 106.69 119.99
Sites, in units of the cell vectors:
Y1 0.250 0.125 0.375
Y2 0.750 0.875 0.625
Ho1 0.750 0.375 0.125
Ho2 0.250 0.625 0.875
Au1 0.000 0.000 0.000
Au2 0.491 0.245 0.736
Au3 0.509 0.755 0.264

First-principles (PBE) data for CeMgRu after structural relaxation, as listed in the Alexandria database.

Size of the total moment (μB/f.u.): 0.2
Theoretical density (g cm⁻³): 6.3
SG: No. 216
Formation energy from the elements (eV/f.u.): -0.135
E_tot (Ry per atom): -0.41501

abc: 4.627 4.627 4.627
angles: 60.00 60.00 60.00
Last column: magnetic moment on the atom in μB.
Sites, in units of the cell vectors:
Ru1 0.250 0.250 0.250  -0.05
Mg1 0.500 0.500 0.500  0.00
Ce1 0.000 0.000 0.000  0.23